1.
A plane-wave DFT calculation with PBE was carried out for a relaxed Sr2BiF2 crystal.

Geometry as POSCAR:
```
Sr2BiF2
1.0
-1.917 -2.541 -2.357
3.311 -0.548 -2.102
1.994 -5.827 4.660
Sr Bi F
2 1 2
Direct
0.500 0.500 0.709
0.500 0.500 0.291
0.000 0.000 0.000
0.500 0.000 0.500
0.000 0.500 0.500
```

Computed properties:
Spin magnetization (μB/f.u.): 0.00
VASP energy (eV/atom): -4.73
Calculated density (g/cm3): 5.8
Crystal system: tetragonal
SG: P4/mmm (123)
Uncorrected formation energy (meV per atom): -2536

2.
A plane-wave DFT calculation with PBE was carried out for a relaxed Pm4TlGeN crystal.

Geometry as POSCAR:
```
Pm4TlGeN
1.0
-4.222 3.374 4.163
3.570 -2.190 5.395
6.826 4.809 -2.565
Pm Tl Ge N
8 2 2 2
Direct
0.922 0.250 0.844
0.413 0.750 0.826
0.078 0.750 0.156
0.587 0.250 0.174
0.500 0.500 0.500
0.000 0.000 0.500
0.500 0.000 0.500
0.000 0.500 0.500
0.609 0.750 0.218
0.391 0.250 0.782
0.114 0.250 0.228
0.886 0.750 0.772
0.253 0.750 0.507
0.747 0.250 0.493
```

Computed properties:
Spin magnetization (μB/f.u.): 0.00
VASP energy (eV/atom): -5.65
Calculated density (g/cm3): 7.7
Crystal system: orthorhombic
SG: Cmcm (63)
Uncorrected formation energy (meV per atom): -753

What is the formula in the second record?
Pm4TlGeN